Arrangement w

{"formula": "Tb2TmCd2", "functional": "PBE", "state": "optimized geometry", "cell": [[-4.625, 1.090, 1.474], [-1.679, -2.578, 5.032], [-0.360, 4.062, 4.262]], "species": ["Tb", "Tm", "Tb", "Cd", "Cd"], "frac_coords": [[0.198, 0.302, 0.302], [0.000, 0.000, 0.000], [0.802, 0.698, 0.698], [0.500, 0.289, 0.711], [0.500, 0.711, 0.289]], "space_group": "No. 71", "crystal_system": "orthorhombic"}

Arrangement x

{"formula": "Tb2TmCd2", "functional": "PBE", "state": "optimized geometry", "cell": [[-3.456, 0.862, 1.058], [-0.840, -5.055, 1.375], [6.288, 2.261, 12.154]], "species": ["Tb", "Tm", "Tb", "Tb", "Cd", "Tm", "Cd", "Cd", "Tb", "Cd"], "frac_coords": [[0.765, 0.250, 0.528], [0.150, 0.250, 0.299], [0.235, 0.750, 0.472], [0.955, 0.250, 0.910], [0.554, 0.250, 0.108], [0.850, 0.750, 0.701], [0.640, 0.750, 0.281], [0.446, 0.750, 0.892], [0.045, 0.750, 0.090], [0.360, 0.250, 0.719]], "space_group": "No. 63", "crystal_system": "orthorhombic"}

The least stable of them is arrangement w.

Arrangement w

{"formula": "TbTmCd3", "functional": "PBE", "state": "optimized geometry", "cell": [[-1.337, 2.285, 2.215], [-2.474, -3.651, 2.274], [12.034, -3.229, 7.907]], "species": ["Cd", "Cd", "Cd", "Cd", "Cd", "Tm", "Tm", "Cd", "Tb", "Tb"], "frac_coords": [[0.676, 0.250, 0.353], [0.324, 0.750, 0.647], [0.524, 0.750, 0.048], [0.476, 0.250, 0.952], [0.378, 0.250, 0.756], [0.216, 0.750, 0.432], [0.784, 0.250, 0.568], [0.622, 0.750, 0.244], [0.075, 0.250, 0.151], [0.925, 0.750, 0.849]], "space_group": "No. 63", "crystal_system": "orthorhombic"}

Arrangement x

{"formula": "TbTmCd3", "functional": "PBE", "state": "optimized geometry", "cell": [[-0.206, 2.819, 4.937], [2.676, -4.310, 2.573], [8.401, 5.387, -6.003]], "species": ["Cd", "Tm", "Cd", "Cd", "Cd", "Tb", "Cd", "Cd", "Tm", "Tb"], "frac_coords": [[0.124, 0.871, 0.247], [0.667, 0.167, 0.333], [0.285, 0.285, 0.571], [0.129, 0.876, 0.753], [0.124, 0.377, 0.247], [0.250, 0.750, 0.500], [0.715, 0.715, 0.429], [0.623, 0.876, 0.753], [0.833, 0.333, 0.667], [0.000, 0.000, 0.000]], "space_group": "No. 119", "crystal_system": "tetragonal"}

The least stable of them is arrangement x.

Arrangement w

{"formula": "Tb5Tm4Cd", "functional": "PBE", "state": "optimized geometry", "cell": [[3.539, 0.000, 0.000], [0.000, 3.539, 0.000], [0.000, 0.000, 24.045]], "species": ["Tm", "Tb", "Tm", "Tb", "Cd", "Tm", "Tb", "Tb", "Tb", "Tm"], "frac_coords": [[0.000, 0.000, 0.191], [0.500, 0.500, 0.500], [0.000, 0.000, 0.809], [0.500, 0.500, 0.706], [0.000, 0.000, 0.000], [0.000, 0.000, 0.603], [0.500, 0.500, 0.912], [0.500, 0.500, 0.294], [0.500, 0.500, 0.088], [0.000, 0.000, 0.397]], "space_group": "No. 123", "crystal_system": "tetragonal"}

Arrangement x

{"formula": "Tb5Tm4Cd", "functional": "PBE", "state": "optimized geometry", "cell": [[6.141, 0.000, 0.000], [3.070, 7.184, 0.000], [3.070, 0.000, 7.184]], "species": ["Tb", "Tb", "Tb", "Tb", "Tm", "Tm", "Tm", "Cd", "Tb", "Tm"], "frac_coords": [[0.737, 0.082, 0.372], [0.819, 0.372, 0.918], [0.109, 0.628, 0.082], [0.640, 0.000, 0.000], [0.112, 0.303, 0.390], [0.416, 0.390, 0.697], [0.806, 0.697, 0.610], [0.178, 0.000, 0.000], [0.191, 0.918, 0.628], [0.502, 0.610, 0.303]], "space_group": "No. 79", "crystal_system": "tetragonal"}

The least stable of them is arrangement x.

Arrangement w

{"formula": "Tb4Tm5Cd", "functional": "PBE", "state": "optimized geometry", "cell": [[-0.367, -2.851, 2.042], [2.043, 1.496, 2.456], [-19.432, 9.801, 10.192]], "species": ["Cd", "Tm", "Tb", "Tm", "Tb", "Tm", "Tb", "Tb", "Tm", "Tm"], "frac_coords": [[0.000, 0.000, 0.000], [0.500, 0.500, 0.708], [0.000, 0.000, 0.604], [0.500, 0.500, 0.292], [0.000, 0.000, 0.811], [0.500, 0.500, 0.500], [0.000, 0.000, 0.189], [0.000, 0.000, 0.396], [0.500, 0.500, 0.086], [0.500, 0.500, 0.914]], "space_group": "No. 123", "crystal_system": "tetragonal"}

Arrangement x

{"formula": "Tb4Tm5Cd", "functional": "PBE", "state": "optimized geometry", "cell": [[-5.415, 0.193, 1.579], [-4.265, -5.525, -3.867], [-1.294, -4.807, 6.236]], "species": ["Tb", "Tm", "Tb", "Tm", "Tb", "Cd", "Tm", "Tm", "Tb", "Tm"], "frac_coords": [[0.782, 0.680, 0.680], [0.140, 0.000, 0.631], [0.141, 0.320, 0.320], [0.140, 0.631, 0.000], [0.461, 0.680, 0.320], [0.180, 0.000, 0.000], [0.771, 0.000, 0.369], [0.662, 0.000, 0.000], [0.461, 0.320, 0.680], [0.771, 0.369, 0.000]], "space_group": "No. 107", "crystal_system": "tetragonal"}

The least stable of them is arrangement x.

Arrangement w

{"formula": "TbTm4Cd", "functional": "PBE", "state": "optimized geometry", "cell": [[6.199, -0.698, 0.000], [-2.514, 8.425, 0.000], [-1.842, -3.864, 7.005]], "species": ["Tm", "Tm", "Tm", "Tm", "Tm", "Tb", "Tb", "Tm", "Cd", "Tm", "Cd", "Tm"], "frac_coords": [[0.365, 0.907, 0.618], [0.787, 0.409, 0.249], [0.213, 0.591, 0.751], [0.753, 0.711, 0.618], [0.635, 0.093, 0.382], [0.661, 0.411, 0.821], [0.339, 0.589, 0.179], [0.037, 0.159, 0.751], [0.750, 0.000, 0.999], [0.963, 0.841, 0.249], [0.250, 0.000, 0.001], [0.247, 0.289, 0.382]], "space_group": "No. 15", "crystal_system": "monoclinic"}

Arrangement x

{"formula": "TbTm4Cd", "functional": "PBE", "state": "optimized geometry", "cell": [[3.516, 0.000, 0.000], [0.000, 3.516, 0.000], [0.000, 0.000, 14.029]], "species": ["Tm", "Tm", "Tm", "Cd", "Tb", "Tm"], "frac_coords": [[0.000, 0.000, 0.352], [0.500, 0.500, 0.823], [0.000, 0.000, 0.648], [0.500, 0.500, 0.500], [0.000, 0.000, 0.000], [0.500, 0.500, 0.177]], "space_group": "No. 123", "crystal_system": "tetragonal"}

The least stable of them is arrangement w.

Arrangement w

{"formula": "Tb3Tm2Cd", "functional": "PBE", "state": "optimized geometry", "cell": [[6.345, 0.000, 0.000], [0.000, 5.717, 0.000], [-3.172, -2.858, 5.040]], "species": ["Tm", "Tb", "Tb", "Cd", "Tb", "Tm"], "frac_coords": [[0.817, 0.441, 0.635], [0.347, 0.470, 0.693], [0.653, 0.777, 0.307], [0.500, 0.124, 0.000], [0.000, 0.124, 0.000], [0.183, 0.807, 0.365]], "space_group": "No. 71", "crystal_system": "orthorhombic"}

Arrangement x

{"formula": "Tb3Tm2Cd", "functional": "PBE", "state": "optimized geometry", "cell": [[-1.215, 3.250, -0.757], [-2.012, -0.071, 2.925], [10.553, 5.669, 7.397]], "species": ["Tm", "Tm", "Tb", "Cd", "Tb", "Tb"], "frac_coords": [[0.500, 0.500, 0.175], [0.500, 0.500, 0.825], [0.000, 0.000, 0.650], [0.500, 0.500, 0.500], [0.000, 0.000, 0.000], [0.000, 0.000, 0.350]], "space_group": "No. 123", "crystal_system": "tetragonal"}

The least stable of them is arrangement w.

Arrangement w

{"formula": "Tb2Tm3Cd", "functional": "PBE", "state": "optimized geometry", "cell": [[3.409, 0.000, 0.000], [0.000, 6.454, 0.000], [-1.705, -3.227, 8.419]], "species": ["Cd", "Tb", "Tb", "Tm", "Tm", "Tm"], "frac_coords": [[0.500, 0.322, 0.000], [0.692, 0.312, 0.385], [0.308, 0.927, 0.615], [0.368, 0.494, 0.737], [0.632, 0.757, 0.263], [0.000, 0.931, 0.000]], "space_group": "No. 44", "crystal_system": "orthorhombic"}

Arrangement x

{"formula": "Tb2Tm3Cd", "functional": "PBE", "state": "optimized geometry", "cell": [[3.526, 0.000, 0.000], [0.000, 3.526, 0.000], [0.000, 0.000, 14.076]], "species": ["Tb", "Tb", "Tm", "Cd", "Tm", "Tm"], "frac_coords": [[0.500, 0.500, 0.177], [0.500, 0.500, 0.823], [0.000, 0.000, 0.646], [0.500, 0.500, 0.500], [0.000, 0.000, 0.354], [0.000, 0.000, 0.000]], "space_group": "No. 123", "crystal_system": "tetragonal"}

The least stable of them is arrangement w.

Arrangement w

{"formula": "Tb2Tm3Cd2", "functional": "PBE", "state": "optimized geometry", "cell": [[5.337, 0.000, 0.000], [-2.669, 4.617, -0.310], [0.000, -2.540, 8.091]], "species": ["Tm", "Cd", "Tm", "Tm", "Tb", "Cd", "Tb"], "frac_coords": [[0.655, 0.311, 0.466], [0.787, 0.574, 0.861], [0.500, 0.000, 0.000], [0.345, 0.689, 0.534], [0.925, 0.851, 0.275], [0.213, 0.426, 0.139], [0.075, 0.149, 0.725]], "space_group": "No. 166", "crystal_system": "trigonal"}

Arrangement x

{"formula": "Tb2Tm3Cd2", "functional": "PBE", "state": "optimized geometry", "cell": [[-3.967, -2.227, -2.206], [1.539, -3.046, 0.308], [-6.807, -2.529, 8.997]], "species": ["Tb", "Tm", "Cd", "Tm", "Cd", "Tb", "Tm"], "frac_coords": [[0.711, 0.500, 0.579], [0.854, 0.000, 0.292], [0.432, 0.500, 0.137], [0.146, 0.000, 0.708], [0.568, 0.500, 0.863], [0.289, 0.500, 0.421], [0.000, 0.000, 0.000]], "space_group": "No. 65", "crystal_system": "orthorhombic"}

The least stable of them is arrangement x.

Arrangement w

{"formula": "Tb3TmCd", "functional": "PBE", "state": "optimized geometry", "cell": [[-0.477, 3.319, 1.050], [-3.278, 1.867, -7.394], [-7.847, -4.860, 5.918]], "species": ["Tm", "Tb", "Tb", "Tb", "Tb", "Cd", "Tb", "Tb", "Cd", "Tm"], "frac_coords": [[0.730, 0.817, 0.460], [0.379, 0.950, 0.757], [0.987, 0.770, 0.973], [0.013, 0.230, 0.027], [0.621, 0.050, 0.243], [0.577, 0.598, 0.154], [0.176, 0.442, 0.352], [0.824, 0.558, 0.648], [0.423, 0.402, 0.846], [0.270, 0.183, 0.540]], "space_group": "No. 12", "crystal_system": "monoclinic"}

Arrangement x

{"formula": "Tb3TmCd", "functional": "PBE", "state": "optimized geometry", "cell": [[6.742, 0.173, 0.193], [-1.322, 9.462, 0.432], [-1.322, -0.582, 9.454]], "species": ["Cd", "Tm", "Tb", "Tb", "Tb", "Tb", "Cd", "Tb", "Tb", "Tb", "Tm", "Tm", "Tb", "Tb", "Tm", "Tb", "Tb", "Cd", "Cd", "Tb"], "frac_coords": [[0.750, 0.983, 0.017], [0.139, 0.420, 0.790], [0.472, 0.889, 0.727], [0.110, 0.674, 0.531], [0.524, 0.325, 0.003], [0.024, 0.003, 0.325], [0.250, 0.017, 0.983], [0.528, 0.111, 0.273], [0.028, 0.273, 0.111], [0.976, 0.997, 0.675], [0.639, 0.790, 0.420], [0.361, 0.210, 0.580], [0.476, 0.675, 0.997], [0.390, 0.469, 0.326], [0.861, 0.580, 0.210], [0.610, 0.531, 0.674], [0.972, 0.727, 0.889], [0.750, 0.218, 0.782], [0.250, 0.782, 0.218], [0.890, 0.326, 0.469]], "space_group": "No. 15", "crystal_system": "monoclinic"}

The least stable of them is arrangement x.

Arrangement w

{"formula": "TbYTmCd", "functional": "PBE", "state": "optimized geometry", "cell": [[-2.190, 2.804, -0.340], [-2.250, -1.992, -1.935], [-4.315, -2.455, 7.544]], "species": ["Y", "Tb", "Tm", "Cd"], "frac_coords": [[0.500, 0.500, 0.797], [0.000, 0.000, 0.075], [0.500, 0.500, 0.345], [0.000, 0.000, 0.567]], "space_group": "No. 99", "crystal_system": "tetragonal"}

Arrangement x

{"formula": "TbYTmCd", "functional": "PBE", "state": "optimized geometry", "cell": [[5.433, 0.000, 0.000], [2.717, 4.705, 0.000], [2.717, 1.568, 4.436]], "species": ["Y", "Tb", "Tm", "Cd"], "frac_coords": [[0.750, 0.750, 0.750], [0.250, 0.250, 0.250], [0.500, 0.500, 0.500], [0.000, 0.000, 0.000]], "space_group": "No. 216", "crystal_system": "cubic"}

The least stable of them is arrangement x.

Arrangement w

{"formula": "Tb2VCd", "functional": "PBE", "state": "optimized geometry", "cell": [[-0.400, 1.556, -2.853], [-2.923, -0.012, -1.475], [-3.900, 9.800, 4.015]], "species": ["Tb", "Cd", "V", "Tb"], "frac_coords": [[0.915, 0.915, 0.255], [0.500, 0.500, 0.500], [0.000, 0.000, 0.000], [0.085, 0.085, 0.745]], "space_group": "No. 166", "crystal_system": "trigonal"}

Arrangement x

{"formula": "Tb2VCd", "functional": "PBE", "state": "optimized geometry", "cell": [[3.631, 0.000, 0.000], [0.000, 3.631, 0.000], [0.000, 0.000, 7.576]], "species": ["Cd", "Tb", "Tb", "V"], "frac_coords": [[0.500, 0.500, 0.500], [0.000, 0.000, 0.771], [0.000, 0.000, 0.229], [0.500, 0.500, 0.000]], "space_group": "No. 123", "crystal_system": "tetragonal"}

The least stable of them is arrangement w.

Arrangement w

{"formula": "TbY2Cd", "functional": "PBE", "state": "optimized geometry", "cell": [[-2.799, -2.222, -0.480], [0.306, -1.123, 3.413], [-5.653, 6.546, 2.660]], "species": ["Tb", "Cd", "Y", "Y"], "frac_coords": [[0.500, 0.500, 0.500], [0.500, 0.500, 0.000], [0.000, 0.000, 0.226], [0.000, 0.000, 0.774]], "space_group": "No. 123", "crystal_system": "tetragonal"}

Arrangement x

{"formula": "TbY2Cd", "functional": "PBE", "state": "optimized geometry", "cell": [[5.460, 0.000, 0.000], [2.730, 4.729, 0.000], [2.730, 1.576, 4.458]], "species": ["Y", "Tb", "Cd", "Y"], "frac_coords": [[0.750, 0.750, 0.750], [0.000, 0.000, 0.000], [0.500, 0.500, 0.500], [0.250, 0.250, 0.250]], "space_group": "No. 225", "crystal_system": "cubic"}

The least stable of them is arrangement x.